[1]
## AlFe2Pd5 (PBE-GGA)

Data for an optimized crystal structure of AlFe2Pd5.

The structure in POSCAR format:
```
AlFe2Pd5
1.0
-3.342 2.282 0.497
-2.662 -3.133 -3.517
-3.090 -6.248 7.906
Al Fe Pd
2 4 10
direct
0.000 0.000 0.500
0.000 0.500 0.000
0.500 0.319 0.362
0.500 0.681 0.638
0.500 0.181 0.862
0.500 0.819 0.138
0.500 0.314 0.108
0.500 0.686 0.892
0.500 0.814 0.392
0.500 0.186 0.608
0.000 0.920 0.740
0.000 0.080 0.260
0.000 0.420 0.760
0.000 0.580 0.240
0.000 0.500 0.500
0.000 0.000 0.000
```

## Properties
The calculation puts the total magnetization at 0.94 μB per atom. For the energy relative to the elements, the calculation gives -0.306 eV per atom.


[2]
## Al2FePd9 (PBE-GGA)

Data for an optimized crystal structure of Al2FePd9.

The structure in POSCAR format:
```
Al2FePd9
1.0
-2.256 -2.398 2.105
2.065 -3.063 -1.275
7.255 1.123 9.051
Al Fe Pd
2 1 9
direct
0.000 0.000 0.334
0.000 0.000 0.666
0.000 0.000 0.000
0.500 0.500 0.000
0.500 0.500 0.333
0.500 0.500 0.667
0.500 0.000 0.165
0.500 0.000 0.500
0.500 0.000 0.835
0.000 0.500 0.165
0.000 0.500 0.500
0.000 0.500 0.835
```

## Properties
The calculation puts the total magnetization at 0.35 μB per atom. For the energy relative to the elements, the calculation gives -0.435 eV per atom.


[3]
## AlFePd4 (PBE-GGA)

Data for an optimized crystal structure of AlFePd4.

The structure in POSCAR format:
```
AlFePd4
1.0
5.803 0.000 0.000
0.000 5.891 0.000
0.000 0.000 5.803
Al Fe Pd
2 2 8
direct
0.000 0.500 0.250
0.500 0.500 0.750
0.000 0.000 0.750
0.500 0.000 0.250
0.250 0.747 0.000
0.250 0.253 0.000
0.250 0.253 0.500
0.250 0.747 0.500
0.750 0.747 0.500
0.750 0.253 0.500
0.750 0.253 0.000
0.750 0.747 0.000
```

## Properties
The calculation puts the total magnetization at 0.67 μB per atom. For the energy relative to the elements, the calculation gives -0.252 eV per atom.


[4]
## AlFePd3 (PBE-GGA)

Data for an optimized crystal structure of AlFePd3.

The structure in POSCAR format:
```
AlFePd3
1.0
4.499 0.000 0.000
0.000 4.499 0.000
0.000 0.000 4.499
Fe Pd Al
1 3 1
direct
0.500 0.500 0.500
0.000 0.500 0.000
0.000 0.000 0.500
0.500 0.000 0.000
0.000 0.000 0.000
```

## Properties
As for the offset from the most stable computed form: 0.139 eV per atom. The calculation puts the total magnetization at 0.05 μB per atom. For the energy relative to the elements, the calculation gives 0.760 eV per atom.


[5]
## AlFe3Pd12 (PBE-GGA)

Data for an optimized crystal structure of AlFe3Pd12.

The structure in POSCAR format:
```
AlFe3Pd12
1.0
-2.587 -0.741 2.820
2.898 -0.238 2.596
-1.282 15.245 2.829
Al Fe Pd
1 3 12
direct
0.000 0.000 0.000
0.000 0.000 0.249
0.000 0.000 0.500
0.000 0.000 0.751
0.500 0.500 0.000
0.500 0.500 0.251
0.500 0.500 0.500
0.500 0.500 0.749
0.500 0.000 0.126
0.500 0.000 0.376
0.500 0.000 0.624
0.500 0.000 0.874
0.000 0.500 0.126
0.000 0.500 0.376
0.000 0.500 0.624
0.000 0.500 0.874
```

## Properties
The calculation puts the total magnetization at 0.83 μB per atom. For the energy relative to the elements, the calculation gives -0.223 eV per atom.


[6]
## Al3FePd12 (PBE-GGA)

Data for an optimized crystal structure of Al3FePd12.

The structure in POSCAR format:
```
Al3FePd12
1.0
3.909 0.000 0.000
0.000 3.909 0.000
0.000 0.000 15.548
Al Fe Pd
3 1 12
direct
0.000 0.000 0.250
0.000 0.000 0.500
0.000 0.000 0.750
0.000 0.000 0.000
0.500 0.500 0.000
0.500 0.500 0.249
0.500 0.500 0.500
0.500 0.500 0.751
0.500 0.000 0.124
0.500 0.000 0.374
0.500 0.000 0.626
0.500 0.000 0.876
0.000 0.500 0.124
0.000 0.500 0.374
0.000 0.500 0.626
0.000 0.500 0.876
```

## Properties
The calculation puts the total magnetization at 0.27 μB per atom. For the energy relative to the elements, the calculation gives -0.477 eV per atom.


[7]
## AlFe3Pd (PBE-GGA)

Data for an optimized crystal structure of AlFe3Pd.

The structure in POSCAR format:
```
AlFe3Pd
1.0
4.614 0.000 0.000
0.000 4.614 0.000
0.000 0.000 4.614
Fe Pd Al
3 1 1
direct
0.000 0.500 0.000
0.000 0.000 0.500
0.500 0.000 0.000
0.000 0.000 0.000
0.500 0.500 0.500
```

## Properties
As for the offset from the most stable computed form: 0.000 eV per atom. The calculation puts the total magnetization at 1.92 μB per atom. For the energy relative to the elements, the calculation gives 1.165 eV per atom.


[8]
## Al2Fe2Pd (PBE-GGA)

Data for an optimized crystal structure of Al2Fe2Pd.

The structure in POSCAR format:
```
Al2Fe2Pd
1.0
6.723 0.000 0.000
0.000 6.723 0.000
0.000 0.000 2.997
Fe Pd Al
4 2 4
direct
0.159 0.659 0.500
0.659 0.841 0.500
0.841 0.341 0.500
0.341 0.159 0.500
0.000 0.000 0.000
0.500 0.500 0.000
0.362 0.862 0.000
0.862 0.638 0.000
0.638 0.138 0.000
0.138 0.362 0.000
```

## Properties
As for the offset from the most stable computed form: 0.050 eV per atom. The calculation puts the total magnetization at 0.84 μB per atom. For the energy relative to the elements, the calculation gives -0.196 eV per atom.


[9]
## AlFe2Pd7 (PBE-GGA)

Data for an optimized crystal structure of AlFe2Pd7.

The structure in POSCAR format:
```
AlFe2Pd7
1.0
4.202 0.000 0.000
0.000 7.120 -0.146
0.000 -3.272 6.326
Al Fe Pd
1 2 7
direct
0.000 0.000 0.000
0.500 0.700 0.300
0.500 0.300 0.700
0.000 0.796 0.204
0.000 0.204 0.796
0.500 0.075 0.299
0.500 0.925 0.701
0.500 0.299 0.075
0.500 0.701 0.925
0.500 0.500 0.500
```

## Properties
The calculation puts the total magnetization at 0.79 μB per atom. For the energy relative to the elements, the calculation gives 0.254 eV per atom.


[10]
## Al4Fe2Pd (PBE-GGA)

Data for an optimized crystal structure of Al4Fe2Pd.

The structure in POSCAR format:
```
Al4Fe2Pd
1.0
1.034 -3.923 -2.999
-1.203 -1.741 4.580
-3.822 2.608 -2.012
Al Pd Fe
4 1 2
direct
0.500 0.000 0.000
0.500 0.500 0.500
0.000 0.000 0.500
0.000 0.500 0.000
0.000 0.000 0.000
0.500 0.500 0.000
0.500 0.000 0.500
```

## Properties
The calculation puts the total magnetization at 0.00 μB per atom. For the energy relative to the elements, the calculation gives -0.407 eV per atom.


[11]
## Al2FePd8 (PBE-GGA)

Data for an optimized crystal structure of Al2FePd8.

The structure in POSCAR format:
```
Al2FePd8
1.0
-2.676 -2.540 1.697
0.461 -4.178 -5.527
5.539 0.422 4.505
Al Fe Pd
2 1 8
direct
0.193 0.693 0.386
0.807 0.307 0.614
0.500 0.000 0.000
0.660 0.881 0.321
0.340 0.560 0.679
0.144 0.144 0.288
0.000 0.306 0.000
0.856 0.856 0.712
0.660 0.440 0.321
0.340 0.119 0.679
0.000 0.694 0.000
```

## Properties
As for the offset from the most stable computed form: 0.004 eV per atom. The calculation puts the total magnetization at 0.36 μB per atom. For the energy relative to the elements, the calculation gives -0.457 eV per atom.


[12]
## Al4FePd3 (PBE-GGA)

Data for an optimized crystal structure of Al4FePd3.

The structure in POSCAR format:
```
Al4FePd3
1.0
-1.482 -0.983 -2.384
-1.167 -2.195 1.631
-9.661 7.346 2.974
Al Pd Fe
4 3 1
direct
0.000 0.000 0.893
0.000 0.000 0.107
0.000 0.000 0.371
0.000 0.000 0.629
0.500 0.500 0.241
0.500 0.500 0.500
0.500 0.500 0.759
0.500 0.500 0.000
```

## Properties
The calculation puts the total magnetization at 0.00 μB per atom. For the energy relative to the elements, the calculation gives -0.738 eV per atom.


[13]
## AlFePd5 (PBE-GGA)

Data for an optimized crystal structure of AlFePd5.

The structure in POSCAR format:
```
AlFePd5
1.0
6.365 -0.774 0.033
1.286 6.281 0.033
2.768 1.993 5.926
Al Fe Pd
2 2 10
direct
0.519 0.481 0.250
0.481 0.519 0.750
0.000 0.000 0.000
0.000 0.000 0.500
0.620 0.791 0.349
0.171 0.615 0.472
0.791 0.620 0.849
0.794 0.206 0.250
0.385 0.829 0.028
0.615 0.171 0.972
0.206 0.794 0.750
0.209 0.380 0.151
0.829 0.385 0.528
0.380 0.209 0.651
```

## Properties
The calculation puts the total magnetization at 0.57 μB per atom. For the energy relative to the elements, the calculation gives 0.042 eV per atom.


[14]
## AlFePd (PBE-GGA)

Data for an optimized crystal structure of AlFePd.

The structure in POSCAR format:
```
AlFePd
1.0
2.830 0.000 0.000
0.000 2.830 0.000
-1.415 -1.415 5.132
Fe Pd Al
1 1 1
direct
0.326 0.326 0.653
0.005 0.005 0.010
0.668 0.668 0.337
```

## Properties
The calculation puts the total magnetization at 0.83 μB per atom. For the energy relative to the elements, the calculation gives -0.377 eV per atom.


[15]
## Al2FePd (PBE-GGA)

Data for an optimized crystal structure of Al2FePd.

The structure in POSCAR format:
```
Al2FePd
1.0
6.663 0.000 0.000
0.000 6.663 0.000
3.331 3.331 2.754
Fe Pd Al
2 2 4
direct
0.500 0.500 0.000
0.250 0.750 0.500
0.000 0.000 0.000
0.750 0.250 0.500
0.623 0.125 0.250
0.127 0.625 0.250
0.375 0.377 0.750
0.875 0.873 0.750
```

## Properties
The calculation puts the total magnetization at 0.46 μB per atom. For the energy relative to the elements, the calculation gives -0.036 eV per atom.


[16]
## Al2Fe2Pd (PBE-GGA)

Data for an optimized crystal structure of Al2Fe2Pd.

The structure in POSCAR format:
```
Al2Fe2Pd
1.0
7.105 0.000 0.000
0.000 7.105 0.000
0.000 0.000 2.679
Fe Pd Al
4 2 4
direct
0.386 0.886 0.000
0.886 0.614 0.000
0.614 0.114 0.000
0.114 0.386 0.000
0.000 0.000 0.000
0.500 0.500 0.000
0.182 0.682 0.500
0.682 0.818 0.500
0.818 0.318 0.500
0.318 0.182 0.500
```

## Properties
As for the offset from the most stable computed form: 0.000 eV per atom. The calculation puts the total magnetization at 0.74 μB per atom. For the energy relative to the elements, the calculation gives -0.245 eV per atom.


[17]
## AlFePd6 (PBE-GGA)

Data for an optimized crystal structure of AlFePd6.

The structure in POSCAR format:
```
AlFePd6
1.0
4.552 0.563 0.121
0.903 4.497 0.121
1.736 1.610 6.747
Al Fe Pd
1 1 6
direct
0.000 0.000 0.000
0.500 0.500 0.500
0.065 0.553 0.300
0.553 0.065 0.300
0.447 0.935 0.700
0.935 0.447 0.700
0.350 0.350 0.936
0.650 0.650 0.064
```

## Properties
As for the offset from the most stable computed form: 0.241 eV per atom. The calculation puts the total magnetization at 0.49 μB per atom. For the energy relative to the elements, the calculation gives -0.112 eV per atom.


[18]
## AlFe2Pd (PBE-GGA)

Data for an optimized crystal structure of AlFe2Pd.

The structure in POSCAR format:
```
AlFe2Pd
1.0
-3.476 -5.834 0.939
2.466 -0.443 6.381
-2.454 -1.841 4.503
Fe Pd Al
4 2 2
direct
0.622 0.125 0.250
0.128 0.625 0.250
0.375 0.378 0.750
0.875 0.872 0.750
0.000 0.000 0.000
0.750 0.250 0.500
0.500 0.500 0.000
0.250 0.750 0.500
```

## Properties
The calculation puts the total magnetization at 1.30 μB per atom. For the energy relative to the elements, the calculation gives 0.201 eV per atom.


[19]
## Al2FePdPt5 (PBE-GGA)

Data for an optimized crystal structure of Al2FePdPt5.

The structure in POSCAR format:
```
Al2FePdPt5
1.0
-4.729 -4.081 -0.658
3.343 -4.364 3.039
-2.140 6.480 5.168
Al Fe Pd Pt
4 2 2 10
direct
0.138 0.362 0.000
0.638 0.138 0.000
0.362 0.862 0.000
0.862 0.638 0.000
0.250 0.250 0.500
0.750 0.750 0.500
0.250 0.750 0.500
0.750 0.250 0.500
0.910 0.410 0.284
0.626 0.126 0.716
0.090 0.590 0.716
0.126 0.090 0.716
0.590 0.626 0.716
0.874 0.910 0.284
0.410 0.374 0.284
0.374 0.874 0.284
0.500 0.500 0.000
0.000 0.000 0.000
```

## Properties
The calculation puts the total magnetization at 0.44 μB per atom. For the energy relative to the elements, the calculation gives -0.145 eV per atom.


[20]
## AlFe2RePd (PBE-GGA)

Data for an optimized crystal structure of AlFe2RePd.

The structure in POSCAR format:
```
AlFe2RePd
1.0
-3.920 -0.944 1.085
-0.225 -2.786 -3.236
1.421 -3.024 2.505
Re Fe Pd Al
1 2 1 1
direct
0.500 0.500 0.500
0.000 0.000 0.500
0.500 0.000 0.000
0.000 0.500 0.000
0.000 0.000 0.000
```

## Properties
The calculation puts the total magnetization at 0.00 μB per atom. For the energy relative to the elements, the calculation gives 1.456 eV per atom.


[21]
## AlFePdRu (PBE-GGA)

Data for an optimized crystal structure of AlFePdRu.

The structure in POSCAR format:
```
AlFePdRu
1.0
-4.006 -0.624 1.367
-0.756 -2.657 3.268
-1.236 1.564 3.786
Ru Fe Pd Al
1 1 1 1
direct
0.750 0.750 0.750
0.500 0.500 0.500
0.250 0.250 0.250
0.000 0.000 0.000
```

## Properties
The calculation puts the total magnetization at 1.03 μB per atom. For the energy relative to the elements, the calculation gives -0.379 eV per atom.


[22]
## Al2FePdS (PBE-GGA)

Data for an optimized crystal structure of Al2FePdS.

The structure in POSCAR format:
```
Al2FePdS
1.0
-3.319 -1.523 2.928
3.403 -1.564 3.043
-0.012 4.157 2.150
S Fe Pd Al
1 1 1 2
direct
0.500 0.500 0.500
0.000 0.500 0.000
0.000 0.000 0.000
0.000 0.000 0.500
0.500 0.000 0.000
```

## Properties
The calculation puts the electronic total energy at -23.37 eV per formula unit. The calculation puts the total magnetization at 0.72 μB per atom.


[23]
## ScAlFePd2 (PBE-GGA)

Data for an optimized crystal structure of ScAlFePd2.

The structure in POSCAR format:
```
ScAlFePd2
1.0
4.429 0.000 0.000
0.000 5.044 0.000
0.000 0.000 4.429
Sc Fe Pd Al
1 1 2 1
direct
0.000 0.500 0.000
0.500 0.500 0.500
0.000 0.000 0.500
0.500 0.000 0.000
0.000 0.000 0.000
```

## Properties
The calculation puts the total magnetization at 0.37 μB per atom. For the energy relative to the elements, the calculation gives 0.536 eV per atom.